(1)
LiMg2Zn3: optimized geometry, PBE-GGA.

Output
Final energy, eV per atom: -1.59
Symmetry: Fmmm
D(E_F), states/eV/f.u.: 1.19
Energy above the lowest structure with this stoichiometry, kJ/mol of formula units: 10
Total magnetization, μB per cell: 0.00
Formation enthalpy at 0 K, eV per atom: -0.10

a = 8.9590 Å, b = 8.2786 Å, c = 5.4182 Å
α = 78.67°, β = 64.96°, γ = 36.37°
Positions (direct):
Li (0.1668, 0.1668, 0.8332)
Li (0.8332, 0.8332, 0.1668)
Mg (0.2500, 0.2500, 0.2500)
Mg (0.2507, 0.7493, 0.7493)
Mg (0.7493, 0.2507, 0.2507)
Mg (0.7500, 0.7500, 0.7500)
Zn (0.1693, 0.6639, 0.3361)
Zn (0.3346, 0.3346, 0.6654)
Zn (0.3361, 0.8307, 0.1693)
Zn (0.6639, 0.1693, 0.8307)
Zn (0.6654, 0.6654, 0.3346)
Zn (0.8307, 0.3361, 0.6639)

(2)
NaTb3Ho2Te6: optimized geometry, PBE-GGA.

Output
ΔE_f (raw), kJ/mol of atoms: -125.48
Final energy, eV per atom: -4.90
Symmetry: C2/m
D(E_F), states/eV/f.u.: 4.57
Total magnetization, μB per cell: 0.00

a = 9.8021 Å, b = 9.8021 Å, c = 8.7983 Å
α = 103.18°, β = 103.18°, γ = 25.69°
Positions (direct):
Na (0.0000, 0.0000, 0.0000)
Tb (0.0000, 0.0000, 0.5000)
Tb (0.3370, 0.3370, 0.1759)
Tb (0.6630, 0.6630, 0.8241)
Ho (0.3314, 0.3314, 0.6585)
Ho (0.6686, 0.6686, 0.3415)
Te (0.1663, 0.1663, 0.5817)
Te (0.1688, 0.1688, 0.0857)
Te (0.4968, 0.4968, 0.7488)
Te (0.5032, 0.5032, 0.2512)
Te (0.8312, 0.8312, 0.9143)
Te (0.8337, 0.8337, 0.4183)

(3)
AcY4Th: optimized geometry, PBE-GGA.

Output
Final energy, eV per atom: -6.18
Symmetry: P-1
D(E_F), states/eV/f.u.: 8.37
Total magnetization, μB per cell: 0.00
Formation enthalpy at 0 K, eV per atom: 0.05

a = 3.6544 Å, b = 6.2698 Å, c = 9.6566 Å
α = 77.76°, β = 79.14°, γ = 73.14°
Positions (direct):
Ac (0.0000, 0.0000, 0.0000)
Y (0.3325, 0.9901, 0.3447)
Y (0.3347, 0.5117, 0.8193)
Y (0.6653, 0.4883, 0.1807)
Y (0.6675, 0.0099, 0.6553)
Th (0.0000, 0.5000, 0.5000)

(4)
HfCoC2: optimized geometry, PBE-GGA.

Output
Final energy, eV per atom: -8.56
Symmetry: I-42d
D(E_F), states/eV/f.u.: 1.75
Total magnetization, μB per cell: 0.00
Formation enthalpy at 0 K, eV per atom: 0.32

a = 5.9371 Å, b = 5.9371 Å, c = 5.9371 Å
α = 136.38°, β = 136.38°, γ = 63.39°
Positions (direct):
Hf (0.0000, 0.0000, 0.0000)
Hf (0.7500, 0.2500, 0.5000)
Co (0.2500, 0.7500, 0.5000)
Co (0.5000, 0.5000, 0.0000)
C (0.1936, 0.6250, 0.0686)
C (0.3750, 0.4436, 0.5686)
C (0.5564, 0.1250, 0.9314)
C (0.8750, 0.8064, 0.4314)

(5)
Cu3As2Pd4: optimized geometry, PBE-GGA.

Output
Final energy, eV per atom: -4.89
Symmetry: C2/m
D(E_F), states/eV/f.u.: 4.49
Total magnetization, μB per cell: 0.00
Formation enthalpy at 0 K, eV per atom: -0.18

a = 4.2802 Å, b = 4.2802 Å, c = 8.2092 Å
α = 90.56°, β = 90.56°, γ = 60.44°
Positions (direct):
Cu (0.0000, 0.0000, 0.0000)
Cu (0.3330, 0.3330, 0.5187)
Cu (0.6670, 0.6670, 0.4813)
As (0.3323, 0.3323, 0.2116)
As (0.6677, 0.6677, 0.7884)
Pd (0.0007, 0.0007, 0.6688)
Pd (0.3348, 0.3348, 0.8764)
Pd (0.6652, 0.6652, 0.1236)
Pd (0.9993, 0.9993, 0.3312)

(6)
K2PO4: optimized geometry, PBE-GGA.

Output
ΔE_f (raw), kJ/mol of atoms: -145.64
Final energy, eV per atom: -5.43
Symmetry: I4/mmm
D(E_F), states/eV/f.u.: 1.67
Energy above the lowest structure with this stoichiometry, kJ/mol of formula units: 375
Total magnetization, μB per cell: 1.00

a = 7.0512 Å, b = 7.0512 Å, c = 7.0512 Å
α = 149.31°, β = 149.31°, γ = 43.95°
Positions (direct):
K (0.1543, 0.1543, 0.0000)
K (0.8457, 0.8457, 0.0000)
P (0.5000, 0.5000, 0.0000)
O (0.0000, 0.5000, 0.5000)
O (0.3779, 0.3779, 0.0000)
O (0.5000, 0.0000, 0.5000)
O (0.6221, 0.6221, 0.0000)

(7)
Mg3CdNi: optimized geometry, PBE-GGA.

Output
Final energy, eV per atom: -2.37
Symmetry: Pm-3m
D(E_F), states/eV/f.u.: 2.26
Energy above the lowest structure with this stoichiometry, kJ/mol of formula units: 0
Total magnetization, μB per cell: 0.00
Formation enthalpy at 0 K, eV per atom: -0.08

a = 6.5477 Å, b = 6.5477 Å, c = 6.5477 Å
α = 90.00°, β = 90.00°, γ = 90.00°
Positions (direct):
Mg (0.0000, 0.0000, 0.0000)
Mg (0.2745, 0.2745, 0.2745)
Mg (0.2745, 0.2745, 0.7255)
Mg (0.2745, 0.7255, 0.2745)
Mg (0.2745, 0.7255, 0.7255)
Mg (0.7255, 0.2745, 0.2745)
Mg (0.7255, 0.2745, 0.7255)
Mg (0.7255, 0.7255, 0.2745)
Mg (0.7255, 0.7255, 0.7255)
Cd (0.0000, 0.0000, 0.5000)
Cd (0.0000, 0.5000, 0.0000)
Cd (0.5000, 0.0000, 0.0000)
Ni (0.0000, 0.5000, 0.5000)
Ni (0.5000, 0.0000, 0.5000)
Ni (0.5000, 0.5000, 0.0000)

(8)
Zr2AlHPd: optimized geometry, PBE-GGA.

Output
Final energy, eV per atom: -6.37
Symmetry: P4/mmm
D(E_F), states/eV/f.u.: 4.58
Total magnetization, μB per cell: 0.00

a = 4.3445 Å, b = 4.3445 Å, c = 4.1251 Å
α = 90.00°, β = 90.00°, γ = 90.00°
Positions (direct):
Zr (0.0000, 0.5000, 0.0000)
Zr (0.5000, 0.0000, 0.0000)
Al (0.0000, 0.0000, 0.5000)
H (0.5000, 0.5000, 0.0000)
Pd (0.5000, 0.5000, 0.5000)